Entry 1:
A plane-wave DFT calculation with PBE was carried out for an optimized crystal structure of CePuCl5.

Unit cell a=4.076 b=7.664 c=13.028 alpha=90.28 beta=90.00 gamma=90.00
Last column: magnetic moment on the atom in μB.
Fractional coordinates of all 14 atoms:
Cl: 0.250 0.342 0.129  0.02
Cl: 0.750 0.153 0.932  0.04
Cl: 0.250 0.348 0.720  -0.01
Cl: 0.750 0.940 0.690  0.02
Cl: 0.250 0.060 0.310  0.02
Cl: 0.750 0.316 0.481  -0.01
Cl: 0.250 0.847 0.068  0.04
Cl: 0.250 0.684 0.519  -0.01
Cl: 0.750 0.658 0.871  0.02
Cl: 0.750 0.652 0.280  -0.01
Ce: 0.250 0.429 0.343  1.05
Ce: 0.750 0.571 0.657  1.05
Pu: 0.250 0.929 0.854  -5.52
Pu: 0.750 0.071 0.146  -5.52

Computed properties:
Symmetry: P2_1/m
Formation energy from raw total energies, eV/atom: -2.01
Total DFT energy (no corrections), eV/atom: -6.228
Magnetic moment, μB per cell: 9.058

=====

Entry 2:
A plane-wave DFT calculation with PBE was carried out for an optimized crystal structure of CeZnIrRh.

Unit cell a=3.725 b=4.302 c=4.299 alpha=90.00 beta=90.00 gamma=90.00
Fractional coordinates of all 4 atoms:
Ir: 0.500 0.500 0.000
Rh: 0.500 0.000 0.500
Zn: 0.000 0.000 0.000
Ce: 0.000 0.500 0.500

Computed properties:
Symmetry: Pmmm
Total DFT energy (no corrections), eV/atom: -6.465
Magnetic moment, μB per cell: 0.000
Calculated formation energy, eV per atom: -0.610

=====

Entry 3:
A plane-wave DFT calculation with PBE was carried out for an optimized crystal structure of Pr6Si2GeS3.

Unit cell a=4.228 b=8.473 c=9.468 alpha=103.44 beta=102.90 gamma=90.00
Fractional coordinates of all 12 atoms:
S: 0.167 0.833 0.333
S: 0.500 0.500 0.000
S: 0.833 0.167 0.667
Pr: 0.668 0.084 0.335
Pr: 0.000 0.252 0.000
Pr: 0.667 0.583 0.333
Pr: 0.000 0.748 0.000
Pr: 0.333 0.417 0.667
Pr: 0.332 0.916 0.665
Ge: 0.500 0.000 0.000
Si: 0.833 0.667 0.667
Si: 0.167 0.333 0.333

Computed properties:
Symmetry: C2/m
Formation energy from raw total energies, eV/atom: -1.37
Total DFT energy (no corrections), eV/atom: -6.080
Magnetic moment, μB per cell: 0.000